[1]
Entry from the Alexandria database: a relaxed structure of Na3LiCr (PBE).

Calculated values
formation energy from the elements: 362.9 kJ/mol of formula units

a = 5.4599 Å, b = 5.4599 Å, c = 5.4599 Å
α = 90.00°, β = 90.00°, γ = 90.00°
Closest atoms and distances in Å follow each position.
Positions (direct):
1 Cr 0.5000 0.5000 0.5000  12 Na 3.86
2 Li 0.0000 0.0000 0.0000  6 Na 2.73
3 Na 0.0000 0.5000 0.0000  2 Li 2.73
4 Na 0.0000 0.0000 0.5000  2 Li 2.73
5 Na 0.5000 0.0000 0.0000  2 Li 2.73

[2]
Entry from the Alexandria database: a relaxed structure of Na3LiCr (PBE).

Calculated values
formation energy from the elements: 342.2 kJ/mol of formula units

a = 5.8236 Å, b = 5.8236 Å, c = 5.8236 Å
α = 90.00°, β = 90.00°, γ = 90.00°
Closest atoms and distances in Å follow each position.
Positions (direct):
1 Na 0.0000 0.5000 0.0000  2 Cr 2.91
2 Na 0.5000 0.0000 0.0000  2 Cr 2.91
3 Na 0.0000 0.0000 0.5000  2 Cr 2.91
4 Cr 0.0000 0.0000 0.0000  6 Na 2.91
5 Li 0.5000 0.5000 0.5000  12 Na 4.12

[3]
Entry from the Alexandria database: a relaxed structure of NaLiCr3 (PBE).

Calculated values
formation energy from the elements: 870.8 kJ/mol of formula units

a = 5.1297 Å, b = 5.1297 Å, c = 5.1297 Å
α = 90.00°, β = 90.00°, γ = 90.00°
Closest atoms and distances in Å follow each position.
Positions (direct):
1 Na 0.0000 0.0000 0.0000  6 Cr 2.56
2 Li 0.5000 0.5000 0.5000  12 Cr 3.63
3 Cr 0.0000 0.0000 0.5000  2 Na 2.56
4 Cr 0.0000 0.5000 0.0000  2 Na 2.56
5 Cr 0.5000 0.0000 0.0000  2 Na 2.56

[4]
Entry from the Alexandria database: a relaxed structure of NaLi2Cr (PBE).

Calculated values
formation energy from the elements: 186.2 kJ/mol of formula units

a = 4.9902 Å, b = 4.9902 Å, c = 4.9902 Å
α = 60.00°, β = 60.00°, γ = 60.00°
Closest atoms and distances in Å follow each position.
Positions (direct):
1 Li 0.7500 0.7500 0.7500  4 Cr 3.06, 4 Na 3.06
2 Li 0.2500 0.2500 0.2500  4 Cr 3.06, 4 Na 3.06
3 Cr 0.5000 0.5000 0.5000  8 Li 3.06
4 Na 0.0000 0.0000 0.0000  8 Li 3.06

[5]
Entry from the Alexandria database: a relaxed structure of NaLiNbCr2 (PBE).

Calculated values
formation energy from the elements: 833.7 kJ/mol of formula units

a = 4.2041 Å, b = 4.5160 Å, c = 4.2041 Å
α = 90.00°, β = 90.00°, γ = 90.00°
Closest atoms and distances in Å follow each position.
Positions (direct):
1 Li 0.0000 0.0000 0.0000  4 Cr 2.10, 2 Nb 2.26
2 Na 0.5000 0.5000 0.5000  4 Nb 2.97, 8 Cr 3.08
3 Cr 0.0000 0.0000 0.5000  2 Li 2.10
4 Cr 0.5000 0.0000 0.0000  2 Li 2.10
5 Nb 0.0000 0.5000 0.0000  2 Li 2.26